The following is a PBE calculation of a relaxed structure of CeSmMgAg, from Alexandria via LeMat-Bulk.

Structure (CIF):
```
data_CeSmMgAg
_symmetry_space_group_name_H-M 'F -4 3 m'
_symmetry_Int_Tables_number 216
_symmetry_space_group_name_Hall 'F -4 2 3'
_cell_length_a 7.5747
_cell_length_b 7.5747
_cell_length_c 7.5747
_cell_angle_alpha 90.00
_cell_angle_beta 90.00
_cell_angle_gamma 90.00
loop_
_atom_site_label
_atom_site_fract_x
_atom_site_fract_y
_atom_site_fract_z
_atom_site_occupancy
Ce1 0.0000 0.0000 0.0000 1
Sm1 0.0000 0.0000 0.5000 1
Mg1 0.2500 0.2500 0.2500 1
Ag1 0.2500 0.2500 0.7500 1
```

Values from the calculation:
- formation enthalpy at 0 K (eV/atom) = -0.02
- DOS at the Fermi energy (states/eV/atom) = 2.669

***

The following is a PBE calculation of a relaxed structure of CeMg2Tl2Ag2, from Alexandria via LeMat-Bulk.

Structure (CIF):
```
data_CeMg2Tl2Ag2
_symmetry_space_group_name_H-M 'R -3 m'
_symmetry_Int_Tables_number 166
_symmetry_space_group_name_Hall '-R 3 2"'
_cell_length_a 4.7793
_cell_length_b 4.7793
_cell_length_c 24.9331
_cell_angle_alpha 90.00
_cell_angle_beta 90.00
_cell_angle_gamma 120.00
loop_
_atom_site_label
_atom_site_fract_x
_atom_site_fract_y
_atom_site_fract_z
_atom_site_occupancy
Ce1 0.0000 0.0000 0.0000 1
Mg1 0.0000 0.0000 0.1387 1
Tl1 0.0000 0.0000 0.2661 1
Ag1 0.0000 0.0000 0.4404 1
```

Values from the calculation:
- formation enthalpy at 0 K (eV/atom) = -0.13
- DOS at the Fermi energy (states/eV/atom) = 1.392